Arrangement one

Computed, not measured: a PBEsol-optimized structure of MgTeP2 at the meta-GGA SCAN level of DFT.

Cell and atoms, written as POSCAR:
```
MgTeP2
1.0
-2.5166 2.1329 -0.3533
-0.6770 -1.5349 -4.4444
-3.0206 -3.2992 1.5995
P Mg Te
2 1 1
Direct
0.0000 0.0000 0.5000 P
0.0000 0.5000 0.0000 P
0.5000 0.0000 0.0000 Mg
0.5000 0.5000 0.5000 Te
```

DOS(E_F) = 2.210 states/eV/f.u.
calculated volume = 74.9 Å³ per cell

---

Arrangement two

Computed, not measured: a PBEsol-optimized structure of MgTeP2 at the meta-GGA SCAN level of DFT.

Cell and atoms, written as POSCAR:
```
MgTeP2
1.0
-1.1727 1.3893 -2.7087
-3.0443 -0.5274 1.0475
0.0193 6.8062 3.4826
Mg P Te
1 2 1
Direct
0.5000 0.5000 0.7906 Mg
0.0000 0.0000 0.0438 P
0.5000 0.5000 0.1357 P
0.0000 0.0000 0.5298 Te
```

DOS(E_F) = 0.751 states/eV/f.u.
calculated volume = 81.4 Å³ per cell

---

Arrangement three

Computed, not measured: a PBEsol-optimized structure of MgTeP2 at the meta-GGA SCAN level of DFT.

Cell and atoms, written as POSCAR:
```
MgTeP2
1.0
3.6629 0.0000 0.0000
0.0000 4.0746 -2.0016
-1.8314 -3.9492 7.8519
P Te Mg
2 1 1
Direct
0.2537 0.1671 0.5073 P
0.7463 0.8329 0.4927 P
0.0000 0.5000 0.0000 Te
0.5000 0.0000 0.0000 Mg
```

DOS(E_F) = 0.531 states/eV/f.u.
calculated volume = 88.2 Å³ per cell

---

Pick arrangement three: it beats the second-best structure by 0.243 eV/atom.

---

Arrangement one

Computed, not measured: a PBEsol-optimized structure of MgTeP2 at the meta-GGA SCAN level of DFT.

Cell and atoms, written as POSCAR:
```
MgTeP2
1.0
-2.9648 3.7149 -0.1739
-4.2918 -0.2855 2.0298
-0.9339 2.4840 3.9469
P Te Mg
2 1 1
Direct
0.7500 0.7500 0.7500 P
0.0000 0.0000 0.0000 P
0.2500 0.2500 0.2500 Te
0.5000 0.5000 0.5000 Mg
```

DOS(E_F) = 2.872 states/eV/f.u.
calculated volume = 76.1 Å³ per cell

---

Arrangement two

Computed, not measured: a PBEsol-optimized structure of MgTeP2 at the meta-GGA SCAN level of DFT.

Cell and atoms, written as POSCAR:
```
MgTeP2
1.0
3.8238 0.0000 0.0000
0.0000 4.6897 -0.0273
0.0000 -1.1634 4.8654
P Te Mg
2 1 1
Direct
0.0000 0.1868 0.1791 P
0.0000 0.8132 0.8209 P
0.5000 0.0000 0.5000 Te
0.5000 0.5000 0.0000 Mg
```

DOS(E_F) = 0.647 states/eV/f.u.
calculated volume = 87.1 Å³ per cell

---

Pick arrangement two: it beats the second-best structure by 0.674 eV/atom.

---

Arrangement one

Computed, not measured: a PBEsol-optimized structure of Mg3ZnP at the meta-GGA SCAN level of DFT.

Cell and atoms, written as POSCAR:
```
Mg3ZnP
1.0
4.8345 0.0000 0.0000
0.0000 4.8345 0.0000
0.0000 0.0000 4.8345
Mg P Zn
3 1 1
Direct
0.5000 0.0000 0.0000 Mg
0.0000 0.0000 0.5000 Mg
0.0000 0.5000 0.0000 Mg
0.5000 0.5000 0.5000 P
0.0000 0.0000 0.0000 Zn
```

DOS(E_F) = 2.895 states/eV/f.u.
calculated volume = 113.0 Å³ per cell

---

Arrangement two

Computed, not measured: a PBEsol-optimized structure of Mg3ZnP at the meta-GGA SCAN level of DFT.

Cell and atoms, written as POSCAR:
```
Mg3ZnP
1.0
4.8477 0.0000 0.0000
0.0000 4.8477 0.0000
0.0000 0.0000 4.8477
Mg Zn P
3 1 1
Direct
0.0000 0.0000 0.5000 Mg
0.0000 0.5000 0.0000 Mg
0.5000 0.0000 0.0000 Mg
0.5000 0.5000 0.5000 Zn
0.0000 0.0000 0.0000 P
```

DOS(E_F) = 1.718 states/eV/f.u.
calculated volume = 113.9 Å³ per cell

---

Pick arrangement two: it beats the second-best structure by 0.386 eV/atom.

---

Arrangement one

Computed, not measured: a PBEsol-optimized structure of MgPb5 at the meta-GGA SCAN level of DFT.

Cell and atoms, written as POSCAR:
```
MgPb5
1.0
-3.9117 2.4758 -3.1278
-3.6006 -4.6780 0.8002
-0.1606 4.5699 3.8183
Pb Mg
5 1
Direct
0.0000 0.6716 0.0000 Pb
0.5000 0.6667 0.3333 Pb
0.5000 0.3333 0.6667 Pb
0.0000 0.0000 0.6716 Pb
0.0000 0.3284 0.3284 Pb
0.5000 0.0000 0.0000 Mg
```

DOS(E_F) = 3.575 states/eV/f.u.
calculated volume = 171.7 Å³ per cell

---

Arrangement two

Computed, not measured: a PBEsol-optimized structure of MgPb5 at the meta-GGA SCAN level of DFT.

Cell and atoms, written as POSCAR:
```
MgPb5
1.0
3.4553 0.0000 0.0000
0.0000 5.6126 0.0000
-1.7276 0.0000 8.8451
Mg Pb
1 5
Direct
0.9988 0.0000 0.9977 Mg
0.1106 0.5000 0.2211 Pb
0.7780 0.5000 0.5560 Pb
0.3380 0.0000 0.6760 Pb
0.4486 0.5000 0.8972 Pb
0.6594 0.0000 0.3187 Pb
```

DOS(E_F) = 3.026 states/eV/f.u.
calculated volume = 171.5 Å³ per cell

---

Arrangement three

Computed, not measured: a PBEsol-optimized structure of MgPb5 at the meta-GGA SCAN level of DFT.

Cell and atoms, written as POSCAR:
```
MgPb5
1.0
4.7869 0.0000 0.0000
0.0000 4.8462 0.0000
0.0000 2.4231 7.4234
Pb Mg
5 1
Direct
0.5000 0.3367 0.3265 Pb
0.5000 0.6633 0.6735 Pb
0.0000 0.8364 0.3272 Pb
0.5000 0.0000 0.0000 Pb
0.0000 0.1636 0.6728 Pb
0.0000 0.5000 0.0000 Mg
```

DOS(E_F) = 2.970 states/eV/f.u.
calculated volume = 172.2 Å³ per cell

---

Arrangement four

Computed, not measured: a PBEsol-optimized structure of MgPb5 at the meta-GGA SCAN level of DFT.

Cell and atoms, written as POSCAR:
```
MgPb5
1.0
-2.9593 1.7299 0.4483
-1.5638 -2.9266 0.9697
3.5769 2.5947 13.5997
Pb Mg
5 1
Direct
0.5000 0.5000 0.3260 Pb
0.0000 0.0000 0.5000 Pb
0.0000 0.0000 0.8516 Pb
0.0000 0.0000 0.1484 Pb
0.5000 0.5000 0.6740 Pb
0.5000 0.5000 0.0000 Mg
```

DOS(E_F) = 2.291 states/eV/f.u.
calculated volume = 170.9 Å³ per cell

---

Pick arrangement four: it beats the second-best structure by 0.035 eV/atom.

---

Arrangement one

Computed, not measured: a PBEsol-optimized structure of MgPb2 at the meta-GGA SCAN level of DFT.

Cell and atoms, written as POSCAR:
```
MgPb2
1.0
5.0341 0.0000 0.0000
0.0000 6.7024 0.0000
0.0000 0.0000 9.6541
Pb Mg
8 4
Direct
0.7500 0.9268 0.7724 Pb
0.2500 0.0732 0.2276 Pb
0.7500 0.8360 0.4287 Pb
0.2500 0.1640 0.5713 Pb
0.7500 0.4268 0.7276 Pb
0.2500 0.6640 0.9287 Pb
0.2500 0.5732 0.2724 Pb
0.7500 0.3360 0.0713 Pb
0.2500 0.1642 0.9023 Mg
0.2500 0.6642 0.5977 Mg
0.7500 0.8358 0.0977 Mg
0.7500 0.3358 0.4023 Mg
```

DOS(E_F) = 1.526 states/eV/f.u.
calculated volume = 325.7 Å³ per cell

---

Arrangement two

Computed, not measured: a PBEsol-optimized structure of MgPb2 at the meta-GGA SCAN level of DFT.

Cell and atoms, written as POSCAR:
```
MgPb2
1.0
3.4824 0.0000 0.0000
0.0000 3.4824 0.0000
-1.7412 -1.7412 6.6742
Mg Pb
1 2
Direct
0.0000 0.0000 0.0000 Mg
0.6553 0.6553 0.3107 Pb
0.3447 0.3447 0.6893 Pb
```

DOS(E_F) = 0.986 states/eV/f.u.
calculated volume = 80.9 Å³ per cell

---

Pick arrangement two: it beats the second-best structure by 0.032 eV/atom.

---

Arrangement one

Computed, not measured: a PBEsol-optimized structure of MgPb2 at the meta-GGA SCAN level of DFT.

Cell and atoms, written as POSCAR:
```
MgPb2
1.0
3.3564 0.0000 0.0000
0.0000 5.3452 0.0000
0.0000 -2.6726 4.6291
Pb Mg
2 1
Direct
0.3090 0.3333 0.6667 Pb
0.6910 0.6667 0.3333 Pb
0.0000 0.0000 0.0000 Mg
```

DOS(E_F) = 1.459 states/eV/f.u.
calculated volume = 83.0 Å³ per cell

---

Arrangement two

Computed, not measured: a PBEsol-optimized structure of MgPb2 at the meta-GGA SCAN level of DFT.

Cell and atoms, written as POSCAR:
```
MgPb2
1.0
-0.5384 -3.0715 1.6442
4.1135 -1.2459 -0.9803
-0.0791 4.2643 4.1610
Mg Pb
1 2
Direct
0.0000 0.0000 0.0000 Mg
0.3397 0.3397 0.6794 Pb
0.6603 0.6603 0.3206 Pb
```

DOS(E_F) = 1.352 states/eV/f.u.
calculated volume = 81.6 Å³ per cell

---

Pick arrangement two: it beats the second-best structure by 0.075 eV/atom.

---

Arrangement one

Computed, not measured: a PBEsol-optimized structure of MgPb2 at the meta-GGA SCAN level of DFT.

Cell and atoms, written as POSCAR:
```
MgPb2
1.0
3.4062 0.0000 0.0000
-1.7031 6.2112 -0.0020
0.0000 -1.8013 7.7553
Pb Mg
4 2
Direct
0.6604 0.3207 0.3202 Pb
0.6088 0.2175 0.7364 Pb
0.2963 0.5926 0.0455 Pb
0.9395 0.8789 0.4058 Pb
0.3214 0.6428 0.6580 Mg
0.0070 0.0141 0.0007 Mg
```

DOS(E_F) = 1.453 states/eV/f.u.
calculated volume = 164.1 Å³ per cell

---

Arrangement two

Computed, not measured: a PBEsol-optimized structure of MgPb2 at the meta-GGA SCAN level of DFT.

Cell and atoms, written as POSCAR:
```
MgPb2
1.0
4.5164 0.0000 -0.0116
0.0000 4.9267 0.0000
-2.2766 0.0000 7.3321
Mg Pb
2 4
Direct
0.9153 0.7500 0.8316 Mg
0.0847 0.2500 0.1684 Mg
0.4245 0.2500 0.8451 Pb
0.7476 0.2500 0.4962 Pb
0.5755 0.7500 0.1549 Pb
0.2524 0.7500 0.5038 Pb
```

DOS(E_F) = 1.375 states/eV/f.u.
calculated volume = 163.0 Å³ per cell

---

Arrangement three

Computed, not measured: a PBEsol-optimized structure of MgPb2 at the meta-GGA SCAN level of DFT.

Cell and atoms, written as POSCAR:
```
MgPb2
1.0
-3.2897 -0.3669 1.0460
1.2755 -2.0724 -2.4757
4.6326 -10.2558 10.9721
Pb Mg
4 2
Direct
0.6667 0.3333 0.8185 Pb
0.6667 0.3333 0.1815 Pb
0.6667 0.3333 0.5000 Pb
0.0000 0.0000 0.0000 Pb
0.0000 0.0000 0.3397 Mg
0.0000 0.0000 0.6603 Mg
```

DOS(E_F) = 1.849 states/eV/f.u.
calculated volume = 164.0 Å³ per cell

---

Pick arrangement two: it beats the second-best structure by 0.005 eV/atom.

---

Arrangement one

Computed, not measured: a PBEsol-optimized structure of MgPb2 at the meta-GGA SCAN level of DFT.

Cell and atoms, written as POSCAR:
```
MgPb2
1.0
-4.4888 1.4541 -1.6185
-3.8119 0.3490 3.1986
-1.7811 4.4807 1.2783
Pb Mg
2 1
Direct
0.7500 0.7500 0.7500 Pb
0.2500 0.2500 0.2500 Pb
0.0000 0.0000 0.0000 Mg
```

DOS(E_F) = 1.064 states/eV/f.u.
calculated volume = 87.8 Å³ per cell

---

Arrangement two

Computed, not measured: a PBEsol-optimized structure of MgPb2 at the meta-GGA SCAN level of DFT.

Cell and atoms, written as POSCAR:
```
MgPb2
1.0
-0.9640 -3.0168 -1.5096
7.2781 -4.0042 3.3545
-7.6291 0.0883 4.6953
Pb Mg
6 3
Direct
0.5000 0.0000 0.6175 Pb
0.0000 0.0000 0.2864 Pb
0.5000 0.6175 0.0000 Pb
0.0000 0.2864 0.0000 Pb
0.5000 0.3825 0.3825 Pb
0.0000 0.7136 0.7136 Pb
0.0000 0.6667 0.3333 Mg
0.0000 0.3333 0.6667 Mg
0.5000 0.0000 0.0000 Mg
```

DOS(E_F) = 1.105 states/eV/f.u.
calculated volume = 243.9 Å³ per cell

---

Pick arrangement one: it beats the second-best structure by 0.029 eV/atom.

---

Arrangement one

Computed, not measured: a PBEsol-optimized structure of MgPb2 at the meta-GGA SCAN level of DFT.

Cell and atoms, written as POSCAR:
```
MgPb2
1.0
-4.9435 0.2979 -1.8217
3.1588 -3.9242 -1.5710
-2.1550 -3.8253 5.2222
Mg Pb
2 4
Direct
0.3333 0.6667 0.7500 Mg
0.6667 0.3333 0.2500 Mg
0.0000 0.0000 0.0000 Pb
0.3333 0.6667 0.2500 Pb
0.6667 0.3333 0.7500 Pb
0.0000 0.0000 0.5000 Pb
```

DOS(E_F) = 0.942 states/eV/f.u.
calculated volume = 164.5 Å³ per cell

---

Arrangement two

Computed, not measured: a PBEsol-optimized structure of MgPb2 at the meta-GGA SCAN level of DFT.

Cell and atoms, written as POSCAR:
```
MgPb2
1.0
-0.9722 -5.8383 -0.9578
3.0306 3.2039 -4.0618
3.4116 0.1811 4.9271
Pb Mg
4 2
Direct
0.3411 0.8411 0.1821 Pb
0.8411 0.6589 0.5000 Pb
0.1589 0.3411 0.5000 Pb
0.6589 0.1589 0.8179 Pb
0.7500 0.7500 0.0000 Mg
0.2500 0.2500 0.0000 Mg
```

DOS(E_F) = 1.126 states/eV/f.u.
calculated volume = 162.0 Å³ per cell

---

Pick arrangement two: it beats the second-best structure by 0.045 eV/atom.

---

Arrangement one

Computed, not measured: a PBEsol-optimized structure of MgPb2 at the meta-GGA SCAN level of DFT.

Cell and atoms, written as POSCAR:
```
MgPb2
1.0
9.7131 0.0000 0.0000
4.8566 8.4118 0.0000
4.8566 2.8039 7.9307
Pb Mg
16 8
Direct
0.5655 0.9345 0.9345 Pb
0.1250 0.6250 0.1250 Pb
0.9345 0.5655 0.5655 Pb
0.1250 0.1250 0.1250 Pb
0.3155 0.3155 0.6845 Pb
0.6845 0.3155 0.6845 Pb
0.6845 0.6845 0.3155 Pb
0.5655 0.5655 0.9345 Pb
0.9345 0.5655 0.9345 Pb
0.3155 0.6845 0.6845 Pb
0.6250 0.1250 0.1250 Pb
0.6845 0.3155 0.3155 Pb
0.5655 0.9345 0.5655 Pb
0.3155 0.6845 0.3155 Pb
0.9345 0.9345 0.5655 Pb
0.1250 0.1250 0.6250 Pb
0.2688 0.9104 0.9104 Mg
0.3396 0.3396 0.9812 Mg
0.9104 0.2688 0.9104 Mg
0.9812 0.3396 0.3396 Mg
0.9104 0.9104 0.9104 Mg
0.3396 0.3396 0.3396 Mg
0.3396 0.9812 0.3396 Mg
0.9104 0.9104 0.2688 Mg
```

DOS(E_F) = 1.345 states/eV/f.u.
calculated volume = 648.0 Å³ per cell

---

Arrangement two

Computed, not measured: a PBEsol-optimized structure of MgPb2 at the meta-GGA SCAN level of DFT.

Cell and atoms, written as POSCAR:
```
MgPb2
1.0
3.5428 0.0000 0.0000
0.0000 4.9813 0.0000
0.0000 0.0000 4.9813
Pb Mg
2 1
Direct
0.5000 0.5000 0.0000 Pb
0.5000 0.0000 0.5000 Pb
0.0000 0.0000 0.0000 Mg
```

DOS(E_F) = 1.113 states/eV/f.u.
calculated volume = 87.9 Å³ per cell

---

Pick arrangement one: it beats the second-best structure by 0.029 eV/atom.

---

Arrangement one

Computed, not measured: a PBEsol-optimized structure of MgPb2 at the meta-GGA SCAN level of DFT.

Cell and atoms, written as POSCAR:
```
MgPb2
1.0
3.4417 0.0000 0.0000
-1.7208 2.9806 0.0000
0.0000 0.0000 7.9945
Pb Mg
2 1
Direct
0.3333 0.6667 0.3195 Pb
0.6667 0.3333 0.6805 Pb
0.0000 0.0000 0.0000 Mg
```

DOS(E_F) = 1.134 states/eV/f.u.
calculated volume = 82.0 Å³ per cell

---

Arrangement two

Computed, not measured: a PBEsol-optimized structure of MgPb2 at the meta-GGA SCAN level of DFT.

Cell and atoms, written as POSCAR:
```
MgPb2
1.0
-0.2610 -2.9459 -1.6626
3.3626 -0.4063 0.2037
-3.1944 -5.2070 13.2893
Mg Pb
2 4
Direct
0.3751 0.1249 0.7499 Mg
0.6249 0.8751 0.2501 Mg
0.0497 0.2976 0.1020 Pb
0.9503 0.7024 0.8980 Pb
0.7976 0.5498 0.6020 Pb
0.2024 0.4502 0.3980 Pb
```

DOS(E_F) = 1.137 states/eV/f.u.
calculated volume = 166.0 Å³ per cell

---

Pick arrangement two: it beats the second-best structure by 0.072 eV/atom.